The following is a DFT calculation (PBE) of an optimized crystal structure of Cr2SiB.

Cell: 6.370 6.370 5.005 Å, 50.47 50.47 90.00°
Fractional coordinates of all 8 atoms:
Cr (0.555, 0.125, 0.250)
Cr (0.195, 0.625, 0.250)
Cr (0.875, 0.805, 0.750)
Cr (0.375, 0.445, 0.750)
Si (0.750, 0.250, 0.500)
Si (0.000, 0.000, 0.000)
B (0.250, 0.750, 0.500)
B (0.500, 0.500, 0.000)

Calculated values
ΔE to the lowest computed polymorph   1.627 eV/f.u.

The following is a DFT calculation (PBE) of an optimized crystal structure of CrSi2B.

Cell: 6.239 6.239 5.015 Å, 51.53 51.53 90.00°
Fractional coordinates of all 8 atoms:
Cr (0.000, 0.000, 0.000)
Cr (0.750, 0.250, 0.500)
Si (0.375, 0.446, 0.750)
Si (0.875, 0.804, 0.750)
Si (0.554, 0.125, 0.250)
Si (0.196, 0.625, 0.250)
B (0.250, 0.750, 0.500)
B (0.500, 0.500, 0.000)

Computed magnetization, in the same sequence as the records: 0.00; 0.00 μB per formula unit.
Computed calculated total energy, in the same sequence as the records: -7.6248; -6.3540 eV/atom.